# 1
The following is a DFT calculation (GGA-PBE) of an optimized crystal structure of Mo2PbW.

Values from the calculation:
The density of states at the Fermi level is 21.22 states/eV/cell. The value obtained for the total DFT energy (no corrections) is -8.947 eV/atom.

Geometry as CIF:
```
data_Mo2PbW
_chemical_formula_sum 'Mo6 Pb3 W3'
_cell_length_a 3.1255
_cell_length_b 3.1255
_cell_length_c 26.4760
_cell_angle_alpha 90.00
_cell_angle_beta 90.00
_cell_angle_gamma 120.00
_space_group_name_H-M_alt 'R -3 m'
_space_group_IT_number 166
_space_group_name_Hall '-R 3 2"'
loop_
_atom_site_label
_atom_site_type_symbol
_atom_site_fract_x
_atom_site_fract_y
_atom_site_fract_z
_atom_site_occupancy
Mo1 Mo 0.0000 0.0000 0.2407 1
Pb1 Pb 0.0000 0.0000 0.0000 1
W1 W 0.0000 0.0000 0.5000 1
```

=====

# 2
The following is a DFT calculation (GGA-PBE) of an optimized crystal structure of MoPbW2.

Values from the calculation:
The density of states at the Fermi level is 6.04 states/eV/cell. The value obtained for the total DFT energy (no corrections) is -9.505 eV/atom.

Geometry as CIF:
```
data_MoPbW2
_chemical_formula_sum 'Mo2 Pb2 W4'
_cell_length_a 3.3212
_cell_length_b 4.7653
_cell_length_c 9.2613
_cell_angle_alpha 90.00
_cell_angle_beta 90.00
_cell_angle_gamma 90.00
_space_group_name_H-M_alt 'C m m 2'
_space_group_IT_number 35
loop_
_space_group_symop_operation_xyz
'x,y,z'
'-x,-y,z'
'-x,y,z'
'x,-y,z'
'x+1/2,y+1/2,z'
'-x+1/2,-y+1/2,z'
'-x+1/2,y+1/2,z'
'x+1/2,-y+1/2,z'
loop_
_atom_site_label
_atom_site_type_symbol
_atom_site_fract_x
_atom_site_fract_y
_atom_site_fract_z
_atom_site_occupancy
Mo1 Mo 0.0000 0.0000 0.0000 1
Pb1 Pb 0.0000 0.5000 0.2715 1
W1 W 0.0000 0.0000 0.5464 1
W2 W 0.0000 0.5000 0.7736 1
```

=====

# 3
The following is a DFT calculation (GGA-PBE) of an optimized crystal structure of Mo2PbW.

Values from the calculation:
The density of states at the Fermi level is 4.01 states/eV/cell. The value obtained for the total DFT energy (no corrections) is -8.968 eV/atom.

Geometry as CIF:
```
data_Mo2PbW
_chemical_formula_sum 'Mo2 Pb1 W1'
_cell_length_a 3.1120
_cell_length_b 3.1120
_cell_length_c 7.6894
_cell_angle_alpha 90.00
_cell_angle_beta 90.00
_cell_angle_gamma 90.00
_space_group_name_H-M_alt 'P 4 m m'
_space_group_IT_number 99
loop_
_space_group_symop_operation_xyz
'x,y,z'
'-y,x,z'
'-x,-y,z'
'y,-x,z'
'-x,y,z'
'y,x,z'
'x,-y,z'
'-y,-x,z'
loop_
_atom_site_label
_atom_site_type_symbol
_atom_site_fract_x
_atom_site_fract_y
_atom_site_fract_z
_atom_site_occupancy
Mo1 Mo 0.0000 0.0000 0.0000 1
Mo2 Mo 0.5000 0.5000 0.2021 1
Pb1 Pb 0.0000 0.0000 0.4967 1
W1 W 0.5000 0.5000 0.7938 1
```